Record 1
A geometry-optimized Sr2TeMo structure, computed with GGA-PBE.

Cell and atoms, written as POSCAR:
```
Sr2TeMo
1.0
-3.8284 1.3483 -5.0797
-6.0880 0.7325 -2.1627
-1.3036 5.4490 0.1405
Sr Te Mo
2 1 1
direct
0.9781 0.9781 0.0511 Sr
0.7745 0.7745 0.6941 Sr
0.5433 0.5433 0.5033 Te
0.2042 0.2042 0.2515 Mo
```

As for the formation energy (no corrections): 0.08 eV/atom. The calculation puts the electronic total energy at -4.250 eV per atom. As for the space group: No. 8.



Record 2
A geometry-optimized YSb2Os structure, computed with GGA-PBE.

Cell and atoms, written as POSCAR:
```
YSb2Os
1.0
0.0000 3.5055 3.5055
3.5055 0.0000 3.5055
3.5055 3.5055 0.0000
Sb Os Y
2 1 1
direct
0.7500 0.7500 0.7500 Sb
0.2500 0.2500 0.2500 Sb
0.5000 0.5000 0.5000 Os
0.0000 0.0000 0.0000 Y
```

For the energy above the lowest structure with this stoichiometry, the calculation gives 34.2 kJ per mole of atoms. As for the formation energy (no corrections): 0.05 eV/atom. The calculation puts the electronic total energy at -6.438 eV per atom. As for the space group: No. 225.



Record 3
A geometry-optimized MgZn4Se8 structure, computed with GGA-PBE.

Cell and atoms, written as POSCAR:
```
MgZn4Se8
1.0
7.2311 0.0053 -0.0001
-3.4618 6.3483 -0.0001
-1.8847 -3.1769 6.2164
Se Zn Mg
8 4 1
direct
0.5000 0.7091 0.2091 Se
0.2909 0.5000 0.7909 Se
0.7068 0.0000 0.7068 Se
0.7091 0.5000 0.2091 Se
0.5000 0.2909 0.7909 Se
0.0000 0.7068 0.7068 Se
0.0000 0.2932 0.2932 Se
0.2932 0.0000 0.2932 Se
0.0000 0.0000 0.5000 Zn
0.0000 0.5000 0.0000 Zn
0.5000 0.0000 0.0000 Zn
0.5000 0.5000 0.5000 Zn
0.0000 0.0000 0.0000 Mg
```

For the energy above the lowest structure with this stoichiometry, the calculation gives 13.5 kJ per mole of atoms. As for the formation energy (no corrections): -0.07 eV/atom. The calculation puts the electronic total energy at -2.734 eV per atom. As for the space group: No. 139.



Record 4
A geometry-optimized TeWSe2 structure, computed with GGA-PBE.

Cell and atoms, written as POSCAR:
```
TeWSe2
1.0
6.6110 -0.0155 -0.0515
3.9345 5.3128 0.0515
-4.7461 -3.6970 2.7413
Se W Te
2 1 1
direct
0.0842 0.0842 0.0000 Se
0.4158 0.4158 0.0000 Se
0.2500 0.7500 0.5000 W
0.7500 0.2500 0.5000 Te
```

As for the formation energy (no corrections): 0.29 eV/atom. The calculation puts the electronic total energy at -5.472 eV per atom. As for the space group: No. 71.



Record 5
A geometry-optimized NpPt6Rh structure, computed with GGA-PBE.

Cell and atoms, written as POSCAR:
```
NpPt6Rh
1.0
5.3325 0.4494 0.5084
-0.1357 5.3496 0.5084
-0.1357 -0.1514 5.3716
Pt Rh Np
6 1 1
direct
0.8311 0.4589 0.8311 Pt
0.1689 0.5411 0.1689 Pt
0.1689 0.1689 0.5411 Pt
0.5411 0.1689 0.1689 Pt
0.8311 0.8311 0.4589 Pt
0.4589 0.8311 0.8311 Pt
0.5000 0.5000 0.5000 Rh
0.0000 0.0000 0.0000 Np
```

For the energy above the lowest structure with this stoichiometry, the calculation gives 42.2 kJ per mole of atoms. The value obtained for the formation energy is 157 meV per atom. The calculation puts the electronic total energy at -6.910 eV per atom. As for the space group: No. 166.



Record 6
A geometry-optimized La2MoRh structure, computed with GGA-PBE.

Cell and atoms, written as POSCAR:
```
La2MoRh
1.0
7.8024 0.0000 0.0000
0.0000 7.8024 0.0000
3.9012 3.9012 3.2131
La Rh Mo
4 2 2
direct
0.6443 0.1250 0.2500 La
0.8750 0.8943 0.7500 La
0.1057 0.6250 0.2500 La
0.3750 0.3557 0.7500 La
0.0000 0.0000 0.0000 Rh
0.7500 0.2500 0.5000 Rh
0.2500 0.7500 0.5000 Mo
0.5000 0.5000 0.0000 Mo
```

For the energy above the lowest structure with this stoichiometry, the calculation gives 35.5 kJ per mole of atoms. The value obtained for the formation energy is 327 meV per atom. The calculation puts the electronic total energy at -6.683 eV per atom. As for the space group: No. 122.



Record 7
A geometry-optimized MgInPb6 structure, computed with GGA-PBE.

Cell and atoms, written as POSCAR:
```
MgInPb6
1.0
-2.1881 0.6006 -4.3306
-6.2241 0.2844 3.1843
0.6392 6.9385 0.6392
Pb In Mg
6 1 1
direct
0.0000 0.2456 0.2456 Pb
0.0000 0.7552 0.2448 Pb
0.5000 0.5000 0.0000 Pb
0.0000 0.2448 0.7552 Pb
0.0000 0.7544 0.7544 Pb
0.5000 0.0000 0.5000 Pb
0.5000 0.5000 0.5000 In
0.5000 0.0000 0.0000 Mg
```

For the energy above the lowest structure with this stoichiometry, the calculation gives 0.0 kJ per mole of atoms. The value obtained for the formation energy is -3 meV per atom. The calculation puts the electronic total energy at -3.326 eV per atom. As for the space group: No. 123.



Record 8
A geometry-optimized Ho7Tl4Bi structure, computed with GGA-PBE.

Cell and atoms, written as POSCAR:
```
Ho7Tl4Bi
1.0
5.7674 0.0000 0.0000
2.8837 8.9411 -0.0218
2.8837 0.3437 7.1782
Bi Tl Ho
1 4 7
direct
0.0000 0.0000 0.0000 Bi
0.4298 0.7753 0.3651 Tl
0.2868 0.3418 0.0845 Tl
0.7132 0.6582 0.9155 Tl
0.5702 0.2247 0.6349 Tl
0.3472 0.5796 0.7260 Ho
0.2124 0.1300 0.4453 Ho
0.9269 0.3180 0.8282 Ho
0.5000 0.0000 0.0000 Ho
0.6528 0.4204 0.2740 Ho
0.7876 0.8700 0.5547 Ho
0.0731 0.6820 0.1718 Ho
```

The value obtained for the formation energy is -125 meV per atom. The calculation puts the electronic total energy at -3.907 eV per atom. As for the space group: No. 12.